# 1
A plane-wave DFT calculation with PBE was carried out for a geometry-optimized CaPr12Ho7 structure.

Values from the calculation:
Energy above the lowest structure with this stoichiometry, eV/f.u.: 0.00
Theoretical density, g/cm3: 6.782
E_tot, eV per cell: -87.0
Symmetry: R-3 (148)
Formation enthalpy at 0 K, kcal/mol of atoms: 5.1

Unit cell a=8.914 b=8.914 c=8.914 alpha=87.55 beta=87.55 gamma=87.55
Fractional coordinates of all 20 atoms:
Ca 0.000 0.000 0.000
Pr 0.137 0.488 0.619
Pr 0.147 0.738 0.279
Pr 0.262 0.721 0.853
Pr 0.279 0.147 0.738
Pr 0.381 0.863 0.512
Pr 0.488 0.619 0.137
Pr 0.512 0.381 0.863
Pr 0.619 0.137 0.488
Pr 0.721 0.853 0.262
Pr 0.738 0.279 0.147
Pr 0.853 0.262 0.721
Pr 0.863 0.512 0.381
Ho 0.070 0.151 0.393
Ho 0.151 0.393 0.070
Ho 0.393 0.070 0.151
Ho 0.500 0.500 0.500
Ho 0.607 0.930 0.849
Ho 0.849 0.607 0.930
Ho 0.930 0.849 0.607

# 2
A plane-wave DFT calculation with PBE was carried out for a geometry-optimized Mg7Ag2Pb2 structure.

Values from the calculation:
Theoretical density, g/cm3: 5.224
E_tot, eV per cell: -25.0
Symmetry: C2/m (12)
Formation enthalpy at 0 K, kcal/mol of atoms: -1.5

Unit cell a=5.955 b=5.955 c=7.515 alpha=99.49 beta=99.49 gamma=99.22
Fractional coordinates of all 11 atoms:
Mg 0.000 0.000 0.000
Mg 0.113 0.522 0.831
Mg 0.296 0.296 0.465
Mg 0.478 0.887 0.169
Mg 0.522 0.113 0.831
Mg 0.704 0.704 0.535
Mg 0.887 0.478 0.169
Ag 0.380 0.380 0.127
Ag 0.620 0.620 0.873
Pb 0.204 0.796 0.500
Pb 0.796 0.204 0.500

# 3
A plane-wave DFT calculation with PBE was carried out for a geometry-optimized FeHg4Sb structure.

Values from the calculation:
Theoretical density, g/cm3: 11.248
E_tot, eV per cell: -9.9
Formation energy without anion corrections, eV per atom: 0.6457
Symmetry: F-43m (216)

Unit cell a=5.893 b=5.893 c=5.893 alpha=60.00 beta=60.00 gamma=60.00
Fractional coordinates of all 6 atoms:
Fe 0.000 0.000 0.000
Hg 0.124 0.625 0.625
Hg 0.625 0.124 0.625
Hg 0.625 0.625 0.124
Hg 0.625 0.625 0.625
Sb 0.250 0.250 0.250

# 4
A plane-wave DFT calculation with PBE was carried out for a geometry-optimized Ba6Ag3N structure.

Values from the calculation:
Theoretical density, g/cm3: 4.855
E_tot, eV per cell: -61.4
Formation energy without anion corrections, eV per atom: -0.2296
Symmetry: P2_1/c (14)

Unit cell a=7.883 b=8.735 c=13.760 alpha=90.00 beta=123.00 gamma=90.00
Fractional coordinates of all 20 atoms:
Ba 0.101 0.034 0.227
Ba 0.101 0.466 0.727
Ba 0.214 0.711 0.061
Ba 0.214 0.789 0.561
Ba 0.351 0.163 0.056
Ba 0.351 0.337 0.556
Ba 0.649 0.663 0.444
Ba 0.649 0.837 0.944
Ba 0.786 0.211 0.439
Ba 0.786 0.289 0.939
Ba 0.899 0.534 0.273
Ba 0.899 0.966 0.773
Ag 0.300 0.101 0.754
Ag 0.300 0.399 0.254
Ag 0.500 0.000 0.500
Ag 0.500 0.500 0.000
Ag 0.700 0.601 0.746
Ag 0.700 0.899 0.246
N 0.000 0.000 0.000
N 0.000 0.500 0.500

| no. | total magnetization (μB/f.u.) |
| --- | --- |
| 1 | 0.0 |
| 2 | 0.0 |
| 3 | 2.8 |
| 4 | 0.0 |